A relaxed structure of Cs2Hg4Pt. Source: Alexandria via LeMat-Bulk, functional PBE.

Results
The formation energy comes out at -0.263 eV/atom. Its symmetry is Cmmm (65). For the polymorph energy (0 for the lowest one), the calculation gives 7 meV/atom.

Cell: 5.4219 5.4961 9.0221 Å, 107.73 90.00 90.00°
Last column: nearest neighbours and their distance in Å.
Fractional positions:
Hg  0.0000  0.5000  0.0000  2 Pt 2.75
Hg  0.0000  0.8357  0.6714  1 Pt 2.82
Hg  0.0000  0.1643  0.3286  1 Pt 2.82
Hg  0.5000  0.0000  0.0000  2 Pt 2.71
Cs  0.5000  0.6511  0.3022  10 Hg 3.75-4.17
Cs  0.5000  0.3489  0.6978  10 Hg 3.75-4.17
Pt  0.0000  0.0000  0.0000  6 Hg 2.71-2.82


A relaxed structure of PrNpPb2O8. Source: Alexandria via LeMat-Bulk, functional PBE.

Results
Its symmetry is Cmmm (65). The calculation puts the calculated total energy at -89.1 eV for the cell shown.

Cell: 5.2423 5.2445 7.1425 Å, 90.00 90.00 90.21°
Last column: nearest neighbours and their distance in Å.
Fractional positions:
O  0.2858  0.2858  0.0000  1 Np 2.12
O  0.7142  0.7142  0.0000  1 Np 2.12
O  0.8209  0.1789  0.2146  1 Np 2.03
O  0.3169  0.3176  0.5000  2 Pb 2.25, 1 Pr 2.35
O  0.6831  0.6824  0.5000  2 Pb 2.25, 1 Pr 2.35
O  0.1791  0.8211  0.2146  1 Np 2.03
O  0.8209  0.1789  0.7854  1 Np 2.03
O  0.1791  0.8211  0.7854  1 Np 2.03
Pb  0.5000  0.5000  0.2488  6 O 2.25-2.40
Pb  0.5000  0.5000  0.7512  6 O 2.25-2.40
Pr  0.0000  0.0000  0.5000  6 O 2.35-2.43
Np  0.0000  0.0000  0.0000  6 O 2.03-2.12


A relaxed structure of PuScH2O6. Source: Alexandria via LeMat-Bulk, functional PBE.

Results
Its symmetry is P-1 (2). The calculation puts the calculated total energy at -78.8 eV for the cell shown.

Cell: 5.4152 5.5901 5.6568 Å, 63.38 62.22 56.80°
Last column: nearest neighbours and their distance in Å.
Fractional positions:
O  0.4315  0.7191  0.7914  1 H 0.98
O  0.0719  0.4491  0.8211  1 Pu 1.91, 1 Sc 2.12
O  0.2008  0.9132  0.3114  1 H 0.98
O  0.6683  0.0849  0.8100  1 Pu 1.90
O  0.5604  0.1832  0.2820  1 Pu 1.91, 1 Sc 2.12
O  0.9640  0.5475  0.2930  1 Pu 1.90
H  0.3969  0.7355  0.3093  1 O 0.98
H  0.2355  0.8968  0.7940  1 O 0.98
Sc  0.8162  0.8162  0.5515  6 O 2.10-2.14
Pu  0.3161  0.3162  0.0515  4 O 1.90-1.91


A relaxed structure of K3LaI6. Source: Alexandria via LeMat-Bulk, functional PBE.

Results
Its symmetry is P2_1/c (14). The calculation puts the calculated total energy at -65.1 eV for the cell shown.

Cell: 8.4959 9.1951 12.3743 Å, 90.00 88.54 90.00°
Last column: nearest neighbours and their distance in Å.
Fractional positions:
I  0.3538  0.5574  0.7358  1 La 3.19, 1 K 3.57
I  0.1653  0.2915  0.0792  1 La 3.19, 1 K 3.55
I  0.6462  0.4426  0.2642  1 La 3.19, 1 K 3.57
I  0.8017  0.6789  0.5658  1 La 3.17, 1 K 3.49
I  0.8538  0.9426  0.2358  1 La 3.19, 1 K 3.57
I  0.3017  0.8211  0.0658  1 La 3.17, 1 K 3.49
I  0.1983  0.3211  0.4342  1 La 3.17, 1 K 3.49
I  0.6983  0.1789  0.9342  1 La 3.17, 1 K 3.49
I  0.6653  0.2085  0.5792  1 La 3.19, 1 K 3.55
I  0.3347  0.7915  0.4208  1 La 3.19, 1 K 3.55
I  0.8347  0.7085  0.9208  1 La 3.19, 1 K 3.55
I  0.1462  0.0574  0.7642  1 La 3.19, 1 K 3.57
K  0.5000  0.5000  0.0000  6 I 3.49-3.57
K  0.0000  0.0000  0.5000  6 I 3.49-3.57
K  0.4613  0.0919  0.2427  6 I 3.60-3.84
K  0.9613  0.4081  0.7427  6 I 3.60-3.84
K  0.0387  0.5919  0.2573  6 I 3.60-3.84
K  0.5387  0.9081  0.7573  6 I 3.60-3.84
La  0.0000  0.0000  0.0000  6 I 3.17-3.19
La  0.5000  0.5000  0.5000  6 I 3.17-3.19